(1)
{
  "formula": "BaHg2SbAu",
  "functional": "PBE",
  "state": "optimized geometry",
  "lattice_angstrom": [[-2.540, 2.584, 5.640], [2.540, -2.584, 5.640], [2.540, 2.584, -5.640]],
  "species": ["Ba", "Hg", "Hg", "Sb", "Au"],
  "frac_coords": [[0.000, 0.000, 0.000], [0.604, 0.604, 0.000], [0.739, 0.239, 0.500], [0.257, 0.757, 0.500], [0.359, 0.359, 0.000]],
  "energy_ev_per_atom": -2.4478,
  "crystal_system": "orthorhombic",
  "e_above_lowest_polymorph_mev_per_atom": 0,
  "n_ef_per_ev_cell": 1.63,
  "e_form_raw_ev_per_atom": -0.463
}

***

(2)
{
  "formula": "Pu2RhAu",
  "functional": "PBE",
  "state": "optimized geometry",
  "lattice_angstrom": [[3.396, 0.000, 0.000], [0.000, 3.396, 0.000], [0.000, 0.000, 7.632]],
  "species": ["Pu", "Pu", "Rh", "Au"],
  "frac_coords": [[0.000, 0.000, 0.226], [0.000, 0.000, 0.774], [0.500, 0.500, 0.000], [0.500, 0.500, 0.500]],
  "energy_ev_per_atom": -10.2547,
  "crystal_system": "tetragonal",
  "n_ef_per_ev_cell": 14.33,
  "ef_ev_per_atom": -0.43
}

***

(3)
{
  "formula": "K3HfTe6Pb2",
  "functional": "PBE",
  "state": "optimized geometry",
  "lattice_angstrom": [[3.932, -6.818, 0.000], [3.932, 6.818, 0.000], [-2.646, 0.000, 8.194]],
  "species": ["K", "K", "K", "Hf", "Te", "Te", "Te", "Te", "Te", "Te", "Pb", "Pb"],
  "frac_coords": [[0.000, 0.000, 0.000], [0.323, 0.677, 0.000], [0.677, 0.323, 0.000], [0.500, 0.500, 0.500], [0.128, 0.432, 0.295], [0.268, 0.268, 0.708], [0.432, 0.128, 0.295], [0.568, 0.872, 0.705], [0.732, 0.732, 0.292], [0.872, 0.568, 0.705], [0.165, 0.835, 0.500], [0.835, 0.165, 0.500]],
  "energy_ev_per_atom": -4.0540,
  "crystal_system": "monoclinic",
  "n_ef_per_ev_cell": 6.48,
  "e_form_raw_ev_per_atom": -0.761
}

***

Q: What is the formula in the second record?
A: Pu2RhAu